(1)
Ti6VZn | PBE | relaxed

Unit cell a=5.3571 b=5.3571 c=7.7573 alpha=111.13 beta=111.13 gamma=120.54
Site moments in Bohr magnetons follow the coordinates.
Sites, in units of the cell vectors:
Ti: 0.2828 0.2828 0.7443  -0.02
Ti: 0.3042 0.8614 0.2604  -0.02
Ti: 0.7172 0.7172 0.2557  -0.02
Ti: 0.1386 0.6958 0.7396  -0.02
Ti: 0.6958 0.1386 0.7396  -0.02
Ti: 0.8614 0.3042 0.2604  -0.02
V: 0.5000 0.5000 0.5000  0.70
Zn: 0.0000 0.0000 0.0000  0.00

crystal system: monoclinic
formation energy from the elements: 10 kJ/mol of atoms
ρ: 5.1 g cm⁻³
VASP energy: -56.92 eV for the cell shown

=====

(2)
TiVZn4 | PBE | relaxed

Unit cell a=2.7783 b=2.7783 c=11.2766 alpha=90.00 beta=90.00 gamma=90.00
Site moments in Bohr magnetons follow the coordinates.
Sites, in units of the cell vectors:
Ti: 0.0000 0.0000 0.0000  0.23
V: 0.5000 0.5000 0.5000  0.01
Zn: 0.5000 0.5000 0.1737  0.00
Zn: 0.0000 0.0000 0.6641  0.00
Zn: 0.0000 0.0000 0.3359  0.00
Zn: 0.5000 0.5000 0.8263  0.00

crystal system: tetragonal
formation energy from the elements: -8 kJ/mol of atoms
ρ: 6.9 g cm⁻³
VASP energy: -22.61 eV for the cell shown
energy above the most stable polymorph in this dataset: 0.0000 eV/atom

=====

(3)
Ti2VZn | PBE | relaxed

Unit cell a=3.7271 b=3.7271 c=9.7029 alpha=78.93 beta=78.93 gamma=90.00
Sites, in units of the cell vectors:
Zn: 0.0000 0.0000 0.0000
Zn: 0.7500 0.2500 0.5000
V: 0.5000 0.5000 0.0000
V: 0.2500 0.7500 0.5000
Ti: 0.6182 0.1250 0.2500
Ti: 0.1318 0.6250 0.2500
Ti: 0.3750 0.3818 0.7500
Ti: 0.8750 0.8682 0.7500

crystal system: tetragonal
formation energy from the elements: 40 kJ/mol of atoms
ρ: 5.4 g cm⁻³
VASP energy: -49.03 eV for the cell shown

=====

(4)
TiVZn4 | PBE | relaxed

Unit cell a=4.9970 b=4.9970 c=4.9970 alpha=60.00 beta=60.00 gamma=60.00
Site moments in Bohr magnetons follow the coordinates.
Sites, in units of the cell vectors:
Zn: 0.6251 0.6251 0.1247  -0.01
Zn: 0.6251 0.1247 0.6251  -0.01
Zn: 0.6251 0.6251 0.6251  -0.01
Zn: 0.1247 0.6251 0.6251  -0.01
Ti: 0.2500 0.2500 0.2500  0.09
V: 0.0000 0.0000 0.0000  1.85

crystal system: cubic
formation energy from the elements: -6 kJ/mol of atoms
ρ: 6.8 g cm⁻³
VASP energy: -22.50 eV for the cell shown
energy above the most stable polymorph in this dataset: 0.0178 eV/atom

=====

(5)
Ti2VZn | PBE | relaxed

Unit cell a=3.1641 b=3.1641 c=6.1823 alpha=90.00 beta=90.00 gamma=90.00
Sites, in units of the cell vectors:
Zn: 0.5000 0.5000 0.5000
Ti: 0.0000 0.0000 0.7650
Ti: 0.0000 0.0000 0.2350
V: 0.5000 0.5000 0.0000

crystal system: tetragonal
formation energy from the elements: -8 kJ/mol of atoms
ρ: 5.7 g cm⁻³
VASP energy: -26.50 eV for the cell shown

=====

(6)
Ti4VZn2 | PBE | relaxed

Unit cell a=2.8147 b=7.0966 c=11.4256 alpha=90.00 beta=90.00 gamma=90.00
Sites, in units of the cell vectors:
Ti: 0.0000 0.4629 0.7854
Ti: 0.0000 0.5371 0.2146
Ti: 0.0000 0.9629 0.7146
Ti: 0.0000 0.0371 0.2854
Ti: 0.5000 0.6691 0.6011
Ti: 0.5000 0.3309 0.3989
Ti: 0.5000 0.8309 0.1011
Ti: 0.5000 0.1691 0.8989
V: 0.0000 0.0000 0.5000
V: 0.0000 0.5000 0.0000
Zn: 0.5000 0.7635 0.8706
Zn: 0.5000 0.2365 0.1294
Zn: 0.5000 0.2635 0.6294
Zn: 0.5000 0.7365 0.3706

crystal system: orthorhombic
formation energy from the elements: 8 kJ/mol of atoms
ρ: 5.4 g cm⁻³
VASP energy: -85.28 eV for the cell shown

=====

(7)
Ti2VZn | PBE | relaxed

Unit cell a=3.8370 b=3.9869 c=3.9869 alpha=90.00 beta=90.00 gamma=90.00
Sites, in units of the cell vectors:
Zn: 0.5000 0.0000 0.0000
Ti: 0.0000 0.0000 0.5000
Ti: 0.0000 0.5000 0.0000
V: 0.5000 0.5000 0.5000

crystal system: tetragonal
formation energy from the elements: -4 kJ/mol of atoms
ρ: 5.8 g cm⁻³
VASP energy: -26.35 eV for the cell shown

=====

(8)
TiVZn | PBE | relaxed

Unit cell a=3.5802 b=3.5802 c=7.6053 alpha=103.61 beta=103.61 gamma=90.00
Sites, in units of the cell vectors:
Ti: 0.1782 0.1782 0.3565
Ti: 0.8218 0.8218 0.6435
V: 0.0000 0.5000 0.0000
V: 0.5000 0.0000 0.0000
Zn: 0.6347 0.6347 0.2694
Zn: 0.3653 0.3653 0.7306

crystal system: tetragonal
formation energy from the elements: 6 kJ/mol of atoms
ρ: 5.9 g cm⁻³
VASP energy: -36.22 eV for the cell shown
energy above the most stable polymorph in this dataset: 0.1425 eV/atom

=====

(9)
Ti5VZn2 | PBE | relaxed

Unit cell a=3.9774 b=3.9774 c=8.5708 alpha=103.42 beta=103.42 gamma=90.00
Sites, in units of the cell vectors:
Ti: 0.5000 0.5000 0.0000
Ti: 0.8750 0.3750 0.7500
Ti: 0.3750 0.8750 0.7500
Ti: 0.1250 0.6250 0.2500
Ti: 0.6250 0.1250 0.2500
V: 0.0000 0.0000 0.0000
Zn: 0.7500 0.7500 0.5000
Zn: 0.2500 0.2500 0.5000

crystal system: tetragonal
formation energy from the elements: -6 kJ/mol of atoms
ρ: 5.5 g cm⁻³
VASP energy: -51.63 eV for the cell shown

=====

(10)
Ti8VZn2 | PBE | relaxed

Unit cell a=4.0042 b=4.0042 c=11.4963 alpha=90.00 beta=90.00 gamma=90.00
Site moments in Bohr magnetons follow the coordinates.
Sites, in units of the cell vectors:
Ti: 0.0000 0.5000 0.5000  0.01
Ti: 0.5000 0.0000 0.5000  0.01
Ti: 0.5000 0.5000 0.3271  0.03
Ti: 0.5000 0.5000 0.6729  0.03
Ti: 0.0000 0.5000 0.1465  -0.02
Ti: 0.5000 0.0000 0.1465  -0.02
Ti: 0.0000 0.5000 0.8535  -0.02
Ti: 0.5000 0.0000 0.8535  -0.02
V: 0.0000 0.0000 0.0000  0.21
Zn: 0.0000 0.0000 0.3240  0.00
Zn: 0.0000 0.0000 0.6760  0.00

crystal system: tetragonal
formation energy from the elements: 13 kJ/mol of atoms
ρ: 5.1 g cm⁻³
VASP energy: -73.36 eV for the cell shown

=====

(11)
Ti6VZn5 | PBE | relaxed

Unit cell a=4.4675 b=6.2610 c=7.0298 alpha=90.00 beta=71.47 gamma=90.00
Sites, in units of the cell vectors:
Zn: 0.6690 0.5000 0.6620
Zn: 0.3348 0.0000 0.3303
Zn: 0.0000 0.5000 0.0000
Zn: 0.6652 0.0000 0.6697
Zn: 0.3310 0.5000 0.3380
V: 0.0000 0.0000 0.0000
Ti: 0.8370 0.7562 0.3259
Ti: 0.8370 0.2438 0.3259
Ti: 0.5000 0.2428 0.0000
Ti: 0.5000 0.7572 0.0000
Ti: 0.1630 0.7562 0.6741
Ti: 0.1630 0.2438 0.6741

crystal system: orthorhombic
formation energy from the elements: -14 kJ/mol of atoms
ρ: 5.9 g cm⁻³
VASP energy: -64.60 eV for the cell shown

=====

(12)
Ti4VZn | PBE | relaxed

Unit cell a=2.9521 b=7.1729 c=5.7861 alpha=118.09 beta=75.22 gamma=78.12
Sites, in units of the cell vectors:
Ti: 0.6615 0.6808 0.9963
Ti: 0.3385 0.3192 0.0037
Ti: 0.1724 0.1634 0.4918
Ti: 0.8276 0.8366 0.5082
V: 0.0000 0.0000 0.0000
Zn: 0.5000 0.5000 0.5000

crystal system: monoclinic
formation energy from the elements: -2 kJ/mol of atoms
ρ: 5.3 g cm⁻³
VASP energy: -42.07 eV for the cell shown

=====

(13)
Ti2VZn | PBE | relaxed

Unit cell a=2.8485 b=2.8485 c=9.1929 alpha=81.18 beta=81.18 gamma=60.03
Sites, in units of the cell vectors:
Ti: 0.0802 0.0802 0.7591
Ti: 0.2528 0.2528 0.2417
V: 0.6670 0.6670 0.9993
Zn: 0.5000 0.5000 0.4998

crystal system: monoclinic
formation energy from the elements: 8 kJ/mol of atoms
ρ: 5.5 g cm⁻³
VASP energy: -25.86 eV for the cell shown

=====

(14)
TiVZn | PBE | relaxed

Unit cell a=2.4146 b=4.6074 c=4.6074 alpha=120.00 beta=90.00 gamma=90.00
Sites, in units of the cell vectors:
Zn: 0.3142 0.6667 0.3333
Ti: 0.6537 0.3333 0.6667
V: 0.0321 0.0000 0.0000

crystal system: trigonal
formation energy from the elements: 8 kJ/mol of atoms
ρ: 6.1 g cm⁻³
VASP energy: -18.03 eV for the cell shown
energy above the most stable polymorph in this dataset: 0.1712 eV/atom

=====

(15)
TiVZn | PBE | relaxed

Unit cell a=2.7879 b=4.2807 c=7.8522 alpha=90.00 beta=107.10 gamma=90.00
Sites, in units of the cell vectors:
Ti: 0.2431 0.2500 0.2467
Ti: 0.7569 0.7500 0.7533
V: 0.9154 0.2500 0.5635
V: 0.0846 0.7500 0.4365
Zn: 0.4395 0.2500 0.9067
Zn: 0.5605 0.7500 0.0933

crystal system: monoclinic
formation energy from the elements: -8 kJ/mol of atoms
ρ: 6.1 g cm⁻³
VASP energy: -37.08 eV for the cell shown
energy above the most stable polymorph in this dataset: 0.0000 eV/atom

=====

(16)
TiVZn3 | PBE | relaxed

Unit cell a=4.8303 b=4.8303 c=4.8303 alpha=90.00 beta=90.00 gamma=90.00
Site moments in Bohr magnetons follow the coordinates.
Sites, in units of the cell vectors:
Zn: 0.0000 0.5000 0.0000  0.09
Zn: 0.0000 0.0000 0.5000  0.09
Zn: 0.5000 0.0000 0.0000  0.09
V: 0.5000 0.5000 0.5000  2.89
Ti: 0.0000 0.0000 0.0000  1.13

crystal system: cubic
formation energy from the elements: 112 kJ/mol of atoms
ρ: 4.3 g cm⁻³
VASP energy: -15.01 eV for the cell shown

=====

(17)
ZrTi2V2 | PBE | relaxed

Unit cell a=3.7032 b=3.7032 c=6.9076 alpha=74.45 beta=74.45 gamma=90.00
Sites, in units of the cell vectors:
V: 0.7500 0.2500 0.5000
V: 0.2500 0.7500 0.5000
Zr: 0.0000 0.0000 0.0000
Ti: 0.3963 0.3963 0.2074
Ti: 0.6037 0.6037 0.7926

crystal system: tetragonal
formation energy from the elements: 31 kJ/mol of atoms
ρ: 5.5 g cm⁻³
VASP energy: -40.95 eV for the cell shown
energy above the most stable polymorph in this dataset: 0.1251 eV/atom

=====

(18)
ZrTi2V | PBE | relaxed

Unit cell a=2.9920 b=2.9920 c=9.4847 alpha=80.84 beta=80.84 gamma=59.95
Site moments in Bohr magnetons follow the coordinates.
Sites, in units of the cell vectors:
Zr: 0.5000 0.5000 0.4998  0.03
Ti: 0.0734 0.0734 0.7798  0.05
Ti: 0.2601 0.2601 0.2204  0.05
V: 0.6665 0.6665 0.0000  0.86

crystal system: monoclinic
formation energy from the elements: 18 kJ/mol of atoms
ρ: 5.5 g cm⁻³
VASP energy: -32.69 eV for the cell shown
energy above the most stable polymorph in this dataset: 0.1212 eV/atom

=====

(19)
ZrTi2V2 | PBE | relaxed

Unit cell a=7.5088 b=7.5088 c=3.0543 alpha=90.00 beta=90.00 gamma=90.00
Sites, in units of the cell vectors:
V: 0.1430 0.6430 0.5000
V: 0.6430 0.8570 0.5000
V: 0.8570 0.3570 0.5000
V: 0.3570 0.1430 0.5000
Zr: 0.0000 0.0000 0.0000
Zr: 0.5000 0.5000 0.0000
Ti: 0.3596 0.8596 0.0000
Ti: 0.8596 0.6404 0.0000
Ti: 0.6404 0.1404 0.0000
Ti: 0.1404 0.3596 0.0000

crystal system: tetragonal
formation energy from the elements: 24 kJ/mol of atoms
ρ: 5.6 g cm⁻³
VASP energy: -82.68 eV for the cell shown
energy above the most stable polymorph in this dataset: 0.0465 eV/atom

=====

(20)
Zr2Ti2V | PBE | relaxed

Unit cell a=6.3229 b=6.3229 c=4.8305 alpha=90.00 beta=90.00 gamma=90.00
Sites, in units of the cell vectors:
V: 0.0000 0.0000 0.0000
V: 0.5000 0.5000 0.0000
Zr: 0.1665 0.6665 0.5000
Zr: 0.6665 0.8335 0.5000
Zr: 0.8335 0.3335 0.5000
Zr: 0.3335 0.1665 0.5000
Ti: 0.3490 0.8490 0.0000
Ti: 0.8490 0.6510 0.0000
Ti: 0.6510 0.1510 0.0000
Ti: 0.1510 0.3490 0.0000

crystal system: tetragonal
formation energy from the elements: 23 kJ/mol of atoms
ρ: 5.7 g cm⁻³
VASP energy: -81.60 eV for the cell shown